Li2TlHgCl6: relaxed, GGA-PBE.

The space group is R3 (No. 146, hexagonal axes) and the conventional cell measures 6.7515, 6.7515 and 18.4101 Å, with angles of 90.00, 90.00 and 120.00 degrees. The asymmetric unit holds Li at (0.0000, 0.0000, 0.0000), Li at (0.0000, 0.0000, 0.4997), Tl at (0.0000, 0.0000, 0.2028), Hg at (0.0000, 0.0000, 0.7014), Cl at (0.0077, 0.3623, 0.7585) and Cl at (0.0133, 0.6267, 0.2621).

For the formation energy from raw total energies, the calculation gives -10.62 eV per formula unit.

---

Cd2InGe2: relaxed, GGA-PBE.

The space group is I4/mmm (No. 139) and the conventional cell measures 4.6385, 4.6385 and 11.3560 Å, with angles of 90.00, 90.00 and 90.00 degrees. The asymmetric unit holds Cd at (0.0000, 0.5000, 0.2500), In at (0.0000, 0.0000, 0.0000) and Ge at (0.0000, 0.0000, 0.3914).

The calculation puts the formation energy at 0.140 eV/atom. The offset from the most stable computed form is 0.0 meV per atom.

---

LuTaFe4: relaxed, GGA-PBE.

The space group is F-43m (No. 216) and the conventional cell measures 6.9905, 6.9905 and 6.9905 Å, with angles of 90.00, 90.00 and 90.00 degrees. The asymmetric unit holds Lu at (0.0000, 0.0000, 0.0000), Ta at (0.2500, 0.2500, 0.7500) and Fe at (0.1245, 0.1245, 0.3755).

The calculation puts the formation energy at -0.158 eV/atom.

---

Ag2HgAu2: relaxed, GGA-PBE.

The space group is P4/mbm (No. 127) and the conventional cell measures 8.3002, 8.3002 and 2.9179 Å, with angles of 90.00, 90.00 and 90.00 degrees. The asymmetric unit holds Ag at (0.1232, 0.3768, 0.0000), Hg at (0.0000, 0.0000, 0.0000) and Au at (0.1725, 0.6725, 0.5000).

The calculation puts the formation energy at 0.067 eV/atom. The offset from the most stable computed form is 62.7 meV per atom.

---

Sm5CdSn2: relaxed, GGA-PBE.

The space group is Cmcm (No. 63) and the conventional cell measures 5.5096, 10.2252 and 17.2752 Å, with angles of 90.00, 90.00 and 90.00 degrees. The asymmetric unit holds Sm at (0.0000, 0.0891, 0.0845), Sm at (0.0000, 0.3108, 0.7500), Sm at (0.0000, 0.4041, 0.1065), Cd at (0.0000, 0.0057, 0.7500) and Sn at (0.0000, 0.2551, 0.5715).

The calculation puts the formation energy at -0.346 eV/atom.

---

Tb2YMgN: relaxed, GGA-PBE.

The space group is P4/mmm (No. 123) and the conventional cell measures 4.9077, 4.9077 and 4.8691 Å, with angles of 90.00, 90.00 and 90.00 degrees. The asymmetric unit holds Tb at (0.0000, 0.5000, 0.0000), Y at (0.0000, 0.0000, 0.5000), Mg at (0.5000, 0.5000, 0.5000) and N at (0.0000, 0.0000, 0.0000).

For the formation energy from raw total energies, the calculation gives -3.52 eV per formula unit.

---

Sr2BeAg: relaxed, GGA-PBE.

The space group is P2/m (No. 10) and the conventional cell measures 3.8520, 3.7860 and 7.8186 Å, with angles of 90.00, 90.21 and 90.00 degrees. The asymmetric unit holds Sr at (0.0004, 0.0000, 0.2373), Be at (0.5000, 0.5000, 0.0000) and Ag at (0.5000, 0.5000, 0.5000).

The calculation puts the formation energy at 0.141 eV/atom.

---

Cu2Ag4Au5: relaxed, GGA-PBE.

The space group is Pbam (No. 55) and the conventional cell measures 7.4110, 17.5567 and 2.8910 Å, with angles of 90.00, 90.00 and 90.00 degrees. The asymmetric unit holds Cu at (0.0475, 0.1886, 0.0000), Ag at (0.0714, 0.6519, 0.0000), Ag at (0.2088, 0.9252, 0.0000), Au at (0.0000, 0.5000, 0.5000), Au at (0.1405, 0.0660, 0.5000) and Au at (0.2486, 0.2826, 0.5000).

The calculation puts the formation energy at -0.023 eV/atom.